# 1
This record from Alexandria via LeMat-Bulk describes a geometry-optimized ZrSb2TeRh structure. The functional is PBE-GGA.

Cell lengths 5.488, 5.488, 5.459 Å; angles 90.00, 90.00, 90.00 degrees
Element x y z (fractional)
Te (0.000, 0.000, 0.500)
Zr (0.000, 0.000, 0.000)
Sb (0.000, 0.500, 0.000)
Sb (0.500, 0.000, 0.000)
Rh (0.500, 0.500, 0.500)

Summary:
**Total magnetic moment**: 0.93 μB per formula unit
**Crystal system**: tetragonal
**Space-group type**: P4/mmm
**Uncorrected energy**: -23.488 eV for the cell shown
**Excess energy over the best structure of this formula in the dataset**: 203 kJ/mol of formula units
**V**: 32.9 Å³ per atom
**Formation energy from raw total energies**: 3.8 eV per formula unit



# 2
This record from Alexandria via LeMat-Bulk describes a geometry-optimized LaBeCrSi2 structure. The functional is PBE-GGA.

Cell lengths 4.532, 5.084, 4.532 Å; angles 90.00, 90.00, 90.00 degrees
Element x y z (fractional)
Cr (0.000, 0.000, 0.000)
Si (0.500, 0.000, 0.000)
Si (0.000, 0.000, 0.500)
Be (0.500, 0.500, 0.500)
La (0.000, 0.500, 0.000)

Summary:
**Total magnetic moment**: 0.04 μB per formula unit
**Crystal system**: tetragonal
**Space-group type**: P4/mmm
**Uncorrected energy**: -26.854 eV for the cell shown
**V**: 20.9 Å³ per atom
**Formation energy from raw total energies**: 2.3 eV per formula unit



# 3
This record from Alexandria via LeMat-Bulk describes a geometry-optimized BaAl7Ag12 structure. The functional is PBE-GGA.

Cell lengths 7.195, 8.219, 8.219 Å; angles 111.86, 106.96, 106.96 degrees
Element x y z (fractional)
Ag (0.108, 0.677, 0.677)
Ag (0.000, 0.737, 0.263)
Ag (0.263, 0.263, 0.525)
Ag (0.737, 0.737, 0.475)
Ag (0.569, 0.000, 0.677)
Ag (0.263, 0.525, 0.263)
Ag (0.431, 0.000, 0.323)
Ag (0.892, 0.323, 0.323)
Ag (0.000, 0.263, 0.737)
Ag (0.431, 0.323, 0.000)
Ag (0.569, 0.677, 0.000)
Ag (0.737, 0.475, 0.737)
Al (0.531, 0.356, 0.356)
Al (0.469, 0.644, 0.644)
Al (0.500, 0.000, 0.000)
Al (0.825, 0.356, 0.000)
Al (0.175, 0.644, 0.000)
Al (0.825, 0.000, 0.356)
Al (0.175, 0.000, 0.644)
Ba (0.000, 0.000, 0.000)

Summary:
**Total magnetic moment**: 0.00 μB per formula unit
**Crystal system**: trigonal
**Space-group type**: R-3m
**Uncorrected energy**: -62.735 eV for the cell shown
**DFT formation energy**: -0.0199 eV per atom
**V**: 19.3 Å³ per atom



# 4
This record from Alexandria via LeMat-Bulk describes a geometry-optimized BaIn2Cu structure. The functional is PBE-GGA.

Cell lengths 4.711, 7.029, 4.255 Å; angles 72.96, 88.35, 109.05 degrees
Element x y z (fractional)
Cu (0.500, 0.500, 0.000)
In (0.500, 0.000, 0.500)
In (0.000, 0.000, 0.000)
Ba (0.000, 0.500, 0.500)

Summary:
**Total magnetic moment**: 0.00 μB per formula unit
**Crystal system**: monoclinic
**Space-group type**: C2/m
**Uncorrected energy**: -11.000 eV for the cell shown
**DFT formation energy**: 0.1239 eV per atom
**V**: 31.5 Å³ per atom



What is the formula in the second record? LaBeCrSi2



Among the records above, which one has the highest uncorrected energy? BaIn2Cu